Entry from the Alexandria database: a geometry-optimized ZrCdSb structure (PBE).

Values from the calculation:
SG: P-6m2 (187)
E_form (uncorrected): -2.7 kJ per mole of atoms
N(E_F): 3.2 states/eV/f.u.

Unit cell a=5.092 b=5.092 c=3.065 alpha=90.00 beta=90.00 gamma=120.00
Last column: magnetic moment on the atom in μB.
Fractional coordinates of all 3 atoms:
Cd (0.000, 0.000, 0.167)  0.02
Sb (0.667, 0.333, 0.167)  0.00
Zr (0.333, 0.667, 0.666)  0.25